Run 1
## Li2RhCl5 (PBE)

Data for Li2RhCl5 after structural relaxation.

Properties
Magnetization = 0.0 μB per cell
Crystal system = monoclinic

abc: 4.719 6.821 6.821
angles: 81.99 67.56 67.56
Atoms (fractional coordinates):
Cl 0.601 0.983 0.983
Cl 0.041 0.774 0.302
Cl 0.742 0.300 0.300
Cl 0.346 0.767 0.767
Cl 0.041 0.302 0.774
Li 0.595 0.036 0.578
Li 0.595 0.578 0.036
Rh 0.038 0.037 0.037



Run 2
## Li2RhCl5 (PBE)

Data for Li2RhCl5 after structural relaxation.

Properties
Magnetization = 0.0 μB per cell
Crystal system = orthorhombic

abc: 4.697 6.788 12.068
angles: 90.00 90.00 110.24
Atoms (fractional coordinates):
Cl 0.687 0.375 0.899
Cl 0.945 0.889 0.886
Cl 0.725 0.450 0.250
Cl 0.275 0.550 0.750
Cl 0.055 0.111 0.386
Cl 0.687 0.375 0.601
Cl 0.055 0.111 0.114
Cl 0.313 0.625 0.399
Cl 0.313 0.625 0.101
Cl 0.945 0.889 0.614
Li 0.152 0.304 0.558
Li 0.848 0.696 0.442
Li 0.848 0.696 0.058
Li 0.152 0.304 0.942
Rh 0.815 0.630 0.750
Rh 0.185 0.370 0.250



We find run 2 to be the most stable, with the next structure 12 meV per atom higher.



Run 1
## LiRhCl6 (PBE)

Data for LiRhCl6 after structural relaxation.

Properties
Magnetization = 2.0 μB per cell
Crystal system = monoclinic

abc: 6.340 6.372 6.372
angles: 122.20 100.61 100.61
Atoms (fractional coordinates):
Cl 0.250 0.421 0.126
Cl 0.750 0.579 0.874
Cl 0.314 0.756 0.756
Cl 0.686 0.244 0.244
Cl 0.750 0.874 0.579
Cl 0.250 0.126 0.421
Li 0.000 0.000 0.000
Rh 0.500 0.500 0.500



Run 2
## LiRhCl6 (PBE)

Data for LiRhCl6 after structural relaxation.

Properties
Magnetization = 2.1 μB per cell
Crystal system = cubic

abc: 6.882 6.882 6.882
angles: 60.00 60.00 60.00
Atoms (fractional coordinates):
Cl 0.761 0.761 0.239
Cl 0.239 0.239 0.761
Cl 0.239 0.761 0.761
Cl 0.761 0.239 0.761
Cl 0.239 0.761 0.239
Cl 0.761 0.239 0.239
Li 0.500 0.500 0.500
Rh 0.000 0.000 0.000



We find run 1 to be the most stable, with the next structure 99 meV per atom higher.



Run 1
## Li2RuCl (PBE)

Data for Li2RuCl after structural relaxation.

Properties
Magnetization = 1.1 μB per cell
Crystal system = tetragonal

abc: 2.849 2.851 7.869
angles: 68.81 90.00 90.00
Atoms (fractional coordinates):
Cl 0.500 0.750 0.750
Li 0.000 0.459 0.541
Li 0.000 0.041 0.959
Ru 0.500 0.250 0.250



Run 2
## Li2RuCl (PBE)

Data for Li2RuCl after structural relaxation.

Properties
Magnetization = 0.9 μB per cell
Crystal system = monoclinic

abc: 6.033 6.033 3.974
angles: 70.81 70.81 27.48
Atoms (fractional coordinates):
Li 0.780 0.780 0.720
Li 0.951 0.951 0.050
Cl 0.227 0.227 0.272
Ru 0.542 0.542 0.459



Run 3
## Li2RuCl (PBE)

Data for Li2RuCl after structural relaxation.

Properties
Magnetization = 1.4 μB per cell
Crystal system = tetragonal

abc: 5.223 5.223 5.223
angles: 140.35 140.35 57.32
Atoms (fractional coordinates):
Ru 0.500 0.500 0.000
Li 0.250 0.750 0.500
Li 0.000 0.000 0.000
Cl 0.750 0.250 0.500



Run 4
## Li2RuCl (PBE)

Data for Li2RuCl after structural relaxation.

Properties
Magnetization = 1.6 μB per cell
Crystal system = cubic

abc: 4.384 4.384 4.384
angles: 60.00 60.00 60.00
Atoms (fractional coordinates):
Li 0.250 0.250 0.250
Li 0.000 0.000 0.000
Cl 0.500 0.500 0.500
Ru 0.750 0.750 0.750



We find run 1 to be the most stable, with the next structure 244 meV per atom higher.



Run 1
## Li2RuCl (PBE)

Data for Li2RuCl after structural relaxation.

Properties
Magnetization = 0.0 μB per cell
Crystal system = orthorhombic

abc: 4.749 4.749 2.815
angles: 90.00 90.00 115.81
Atoms (fractional coordinates):
Cl 0.000 0.500 0.500
Ru 0.500 0.000 0.500
Li 0.500 0.500 0.000
Li 0.000 0.000 0.000



Run 2
## Li2RuCl (PBE)

Data for Li2RuCl after structural relaxation.

Properties
Magnetization = 1.9 μB per cell
Crystal system = cubic

abc: 4.497 4.497 4.497
angles: 60.00 60.00 60.00
Atoms (fractional coordinates):
Li 0.750 0.750 0.750
Li 0.250 0.250 0.250
Ru 0.500 0.500 0.500
Cl 0.000 0.000 0.000



We find run 1 to be the most stable, with the next structure 403 meV per atom higher.



Run 1
## LiRuS2Cl (PBE)

Data for LiRuS2Cl after structural relaxation.

Properties
Magnetization = 3.3 μB per cell
Crystal system = tetragonal

abc: 4.455 4.455 4.484
angles: 90.00 90.00 90.00
Atoms (fractional coordinates):
S 0.000 0.500 0.000
S 0.500 0.000 0.000
Li 0.000 0.000 0.000
Cl 0.000 0.000 0.500
Ru 0.500 0.500 0.500



Run 2
## LiRuS2Cl (PBE)

Data for LiRuS2Cl after structural relaxation.

Properties
Magnetization = 0.0 μB per cell
Crystal system = tetragonal

abc: 4.529 4.529 5.307
angles: 90.00 90.00 90.00
Atoms (fractional coordinates):
Li 0.500 0.500 0.500
Cl 0.000 0.000 0.500
Ru 0.000 0.000 0.000
S 0.500 0.000 0.000
S 0.000 0.500 0.000



We find run 2 to be the most stable, with the next structure 909 meV per atom higher.



Run 1
## LiSCl3 (PBE)

Data for LiSCl3 after structural relaxation.

Properties
Magnetization = 3.7 μB per cell
Crystal system = cubic

abc: 4.845 4.845 4.845
angles: 90.00 90.00 90.00
Atoms (fractional coordinates):
Cl 0.000 0.000 0.500
Cl 0.000 0.500 0.000
Cl 0.500 0.000 0.000
S 0.500 0.500 0.500
Li 0.000 0.000 0.000



Run 2
## LiSCl3 (PBE)

Data for LiSCl3 after structural relaxation.

Properties
Magnetization = 0.0 μB per cell
Crystal system = cubic

abc: 4.954 4.954 4.954
angles: 90.00 90.00 90.00
Atoms (fractional coordinates):
S 0.000 0.000 0.000
Li 0.500 0.500 0.500
Cl 0.000 0.000 0.500
Cl 0.000 0.500 0.000
Cl 0.500 0.000 0.000



We find run 2 to be the most stable, with the next structure 433 meV per atom higher.



Run 1
## LiSCl (PBE)

Data for LiSCl after structural relaxation.

Properties
Magnetization = 0.0 μB per cell
Crystal system = triclinic

abc: 3.527 3.517 10.464
angles: 92.28 86.51 91.35
Atoms (fractional coordinates):
Cl 0.090 0.484 0.446
Cl 0.637 0.954 0.182
S 0.171 0.410 0.843
S 0.544 0.026 0.781
Li 0.594 0.981 0.421
Li 0.132 0.458 0.207



Run 2
## LiSCl (PBE)

Data for LiSCl after structural relaxation.

Properties
Magnetization = 0.0 μB per cell
Crystal system = monoclinic

abc: 3.888 3.878 12.467
angles: 92.29 90.00 120.09
Atoms (fractional coordinates):
Li 0.160 0.319 0.916
Li 0.840 0.681 0.084
Cl 0.177 0.354 0.118
Cl 0.823 0.646 0.882
S 0.493 0.987 0.424
S 0.507 0.013 0.576



We find run 1 to be the most stable, with the next structure 39 meV per atom higher.



Run 1
## LiS2Cl (PBE)

Data for LiS2Cl after structural relaxation.

Properties
Magnetization = 0.0 μB per cell
Crystal system = trigonal

abc: 12.629 12.629 12.629
angles: 12.63 12.63 12.63
Atoms (fractional coordinates):
Li 0.000 0.000 0.000
Cl 0.500 0.500 0.500
S 0.940 0.940 0.940
S 0.060 0.060 0.060



Run 2
## LiS2Cl (PBE)

Data for LiS2Cl after structural relaxation.

Properties
Magnetization = 0.0 μB per cell
Crystal system = tetragonal

abc: 5.180 5.180 7.786
angles: 70.57 70.57 90.00
Atoms (fractional coordinates):
Li 0.500 0.500 0.000
Li 0.250 0.750 0.500
S 0.375 0.356 0.750
S 0.875 0.894 0.750
S 0.644 0.125 0.250
S 0.106 0.625 0.250
Cl 0.000 0.000 0.000
Cl 0.750 0.250 0.500



We find run 2 to be the most stable, with the next structure 32 meV per atom higher.



Run 1
## LiS2Cl (PBE)

Data for LiS2Cl after structural relaxation.

Properties
Magnetization = 0.0 μB per cell
Crystal system = trigonal

abc: 7.952 7.952 7.952
angles: 24.50 24.50 24.50
Atoms (fractional coordinates):
Li 0.500 0.500 0.500
S 0.098 0.098 0.098
S 0.902 0.902 0.902
Cl 0.000 0.000 0.000



Run 2
## LiS2Cl (PBE)

Data for LiS2Cl after structural relaxation.

Properties
Magnetization = 1.3 μB per cell
Crystal system = cubic

abc: 4.695 4.695 4.695
angles: 60.00 60.00 60.00
Atoms (fractional coordinates):
Cl 0.500 0.500 0.500
Li 0.000 0.000 0.000
S 0.750 0.750 0.750
S 0.250 0.250 0.250



Run 3
## LiS2Cl (PBE)

Data for LiS2Cl after structural relaxation.

Properties
Magnetization = 0.0 μB per cell
Crystal system = triclinic

abc: 4.009 4.071 13.294
angles: 95.41 82.43 74.47
Atoms (fractional coordinates):
Li 0.723 0.640 0.419
Li 0.277 0.360 0.581
S 0.699 0.777 0.086
S 0.301 0.223 0.914
S 0.134 0.500 0.113
S 0.866 0.500 0.887
Cl 0.639 0.744 0.603
Cl 0.361 0.256 0.397



We find run 3 to be the most stable, with the next structure 786 meV per atom higher.



Run 1
## LiSiSCl2 (PBE)

Data for LiSiSCl2 after structural relaxation.

Properties
Magnetization = 1.0 μB per cell
Crystal system = tetragonal

abc: 4.468 4.469 4.975
angles: 90.00 90.00 90.00
Atoms (fractional coordinates):
Li 0.000 0.000 0.000
Cl 0.000 0.500 0.000
Cl 0.500 0.000 0.000
Si 0.500 0.500 0.500
S 0.000 0.000 0.500



Run 2
## LiSiSCl2 (PBE)

Data for LiSiSCl2 after structural relaxation.

Properties
Magnetization = 0.0 μB per cell
Crystal system = tetragonal

abc: 4.924 4.924 4.521
angles: 90.00 90.00 90.00
Atoms (fractional coordinates):
Li 0.500 0.500 0.500
Cl 0.000 0.500 0.000
Cl 0.500 0.000 0.000
S 0.000 0.000 0.500
Si 0.000 0.000 0.000



We find run 2 to be the most stable, with the next structure 568 meV per atom higher.



Run 1
## LiSnSCl2 (PBE)

Data for LiSnSCl2 after structural relaxation.

Properties
Magnetization = 0.0 μB per cell
Crystal system = tetragonal

abc: 5.391 5.391 5.002
angles: 90.00 90.00 90.00
Atoms (fractional coordinates):
Cl 0.000 0.500 0.000
Cl 0.500 0.000 0.000
Li 0.500 0.500 0.500
S 0.000 0.000 0.500
Sn 0.000 0.000 0.000



Run 2
## LiSnSCl2 (PBE)

Data for LiSnSCl2 after structural relaxation.

Properties
Magnetization = 1.0 μB per cell
Crystal system = tetragonal

abc: 4.603 4.603 5.015
angles: 90.00 90.00 90.00
Atoms (fractional coordinates):
Cl 0.500 0.000 0.000
Cl 0.000 0.500 0.000
S 0.000 0.000 0.500
Sn 0.500 0.500 0.500
Li 0.000 0.000 0.000



We find run 1 to be the most stable, with the next structure 116 meV per atom higher.



Run 1
## LiSnS2Cl (PBE)

Data for LiSnS2Cl after structural relaxation.

Properties
Magnetization = 0.0 μB per cell
Crystal system = tetragonal

abc: 4.416 4.416 5.284
angles: 90.00 90.00 90.00
Atoms (fractional coordinates):
S 0.000 0.500 0.000
S 0.500 0.000 0.000
Li 0.000 0.000 0.000
Cl 0.000 0.000 0.500
Sn 0.500 0.500 0.500



Run 2
## LiSnS2Cl (PBE)

Data for LiSnS2Cl after structural relaxation.

Properties
Magnetization = 0.0 μB per cell
Crystal system = tetragonal

abc: 5.006 5.353 5.006
angles: 90.00 90.00 90.00
Atoms (fractional coordinates):
Cl 0.000 0.500 0.000
Li 0.500 0.500 0.500
Sn 0.000 0.000 0.000
S 0.500 0.000 0.000
S 0.000 0.000 0.500



We find run 2 to be the most stable, with the next structure 175 meV per atom higher.